Material: Cs2BaLiI5
Method: DFT, PBE
State: optimized geometry

Lattice parameters (Å, degrees): 5.117 11.358 16.262 90.00 90.00 103.02
Element x y z (fractional)
Cs 0.123 0.247 0.340
I 0.962 0.924 0.501
Li 0.554 0.108 0.921
I 0.318 0.635 0.383
I 0.497 0.994 0.773
Cs 0.877 0.753 0.840
Ba 0.194 0.388 0.030
Cs 0.110 0.220 0.686
I 0.038 0.076 0.001
I 0.297 0.593 0.675
I 0.682 0.365 0.883
Li 0.446 0.892 0.421
I 0.347 0.694 0.015
I 0.503 0.006 0.273
I 0.703 0.407 0.175
Cs 0.890 0.780 0.186
I 0.653 0.306 0.515
Ba 0.806 0.612 0.530

Summary:
Formation energy without anion corrections (eV/atom): -1.55
DOS(E_F) (states/eV/f.u.): 0.00
Symmetry: No. 36